VASP calculation (GGA-PBEsol) on crystalline Si2AgP at its relaxed geometry.

POSCAR file:
```
Si2AgP
1.0
-1.129 -1.868 2.905
3.451 -0.724 0.875
0.171 4.028 2.657
P Si Ag
1 2 1
direct
0.000 0.000 0.500
0.500 0.000 0.000
0.000 0.500 0.000
0.500 0.500 0.500
```

Summary:
uncorrected energy: -18.7 eV/f.u.
symmetry: P4/mmm
energy relative to the elements, uncorrected: 183 kJ/mol of formula units
calculated density: 5.08 g/cm3

***

VASP calculation (GGA-PBEsol) on crystalline Si3Ag3Sn2P6 at its relaxed geometry.

POSCAR file:
```
Si3Ag3Sn2P6
1.0
-2.313 -3.974 -7.629
6.859 -4.353 3.654
-6.913 -0.102 5.616
P Si Ag Sn
12 6 6 4
direct
0.494 0.000 0.244
0.506 0.506 0.750
0.756 0.756 0.250
0.506 0.750 0.506
0.756 0.250 0.756
0.250 0.756 0.756
0.000 0.494 0.244
0.000 0.244 0.494
0.750 0.506 0.506
0.494 0.244 0.000
0.244 0.494 0.000
0.244 0.000 0.494
0.250 0.750 0.500
0.750 0.250 0.500
0.750 0.500 0.250
0.500 0.750 0.250
0.500 0.250 0.750
0.250 0.500 0.750
0.803 0.803 0.000
0.197 0.000 0.197
0.803 0.000 0.803
0.000 0.803 0.803
0.197 0.197 0.000
0.000 0.197 0.197
0.594 0.000 0.000
0.406 0.406 0.406
0.000 0.594 0.000
0.000 0.000 0.594
```

Summary:
uncorrected energy: -72.4 eV/f.u.
symmetry: I-43m
energy relative to the elements, uncorrected: -189 kJ/mol of formula units
calculated density: 5.07 g/cm3

***

VASP calculation (GGA-PBEsol) on crystalline Si2AgPW at its relaxed geometry.

POSCAR file:
```
Si2AgPW
1.0
-0.435 -3.831 2.511
3.698 1.195 2.464
-2.744 2.284 3.009
W Si Ag P
1 2 1 1
direct
0.500 0.500 0.500
0.000 0.500 0.000
0.500 0.000 0.000
0.000 0.000 0.000
0.000 0.000 0.500
```

Summary:
uncorrected energy: -25.2 eV/f.u.
symmetry: P4/mmm
energy relative to the elements, uncorrected: 888 kJ/mol of formula units
calculated density: 6.36 g/cm3

***

VASP calculation (GGA-PBEsol) on crystalline Ag3SnP at its relaxed geometry.

POSCAR file:
```
Ag3SnP
1.0
5.043 0.000 0.000
0.000 5.043 0.000
0.000 0.000 5.043
P Sn Ag
1 1 3
direct
0.500 0.500 0.500
0.000 0.000 0.000
0.500 0.000 0.000
0.000 0.000 0.500
0.000 0.500 0.000
```

Summary:
uncorrected energy: -14.3 eV/f.u.
energy of formation from the pure elements: 1.132 eV/atom
symmetry: Pm-3m
calculated density: 6.13 g/cm3

***

VASP calculation (GGA-PBEsol) on crystalline Sr2AgP at its relaxed geometry.

POSCAR file:
```
Sr2AgP
1.0
-0.249 4.026 -1.858
-3.933 2.023 -0.396
-0.459 5.134 5.880
Sr P Ag
2 1 1
direct
0.264 0.264 0.208
0.736 0.736 0.792
0.000 0.000 0.000
0.500 0.500 0.500
```

Summary:
uncorrected energy: -15.2 eV/f.u.
energy of formation from the pure elements: -0.603 eV/atom
symmetry: R-3m
calculated density: 4.13 g/cm3

***

VASP calculation (GGA-PBEsol) on crystalline SrAgP at its relaxed geometry.

POSCAR file:
```
SrAgP
1.0
4.259 0.000 0.000
0.000 4.303 0.000
0.000 -2.152 3.727
Sr Ag P
1 1 1
direct
0.500 0.667 0.333
0.000 0.000 0.000
0.000 0.333 0.667
```

Summary:
uncorrected energy: -13.2 eV/f.u.
energy of formation from the pure elements: -0.743 eV/atom
symmetry: P-6m2
calculated density: 5.51 g/cm3

***

VASP calculation (GGA-PBEsol) on crystalline Sr3AgP at its relaxed geometry.

POSCAR file:
```
Sr3AgP
1.0
5.745 0.000 0.000
0.000 5.745 0.000
0.000 0.000 5.745
Sr P Ag
3 1 1
direct
0.000 0.000 0.500
0.000 0.500 0.000
0.500 0.000 0.000
0.500 0.500 0.500
0.000 0.000 0.000
```

Summary:
uncorrected energy: -14.1 eV/f.u.
energy of formation from the pure elements: 0.115 eV/atom
symmetry: Pm-3m
calculated density: 3.52 g/cm3

***

VASP calculation (GGA-PBEsol) on crystalline SrAg3P at its relaxed geometry.

POSCAR file:
```
SrAg3P
1.0
-4.103 -3.068 -1.524
3.096 -2.304 -3.698
1.466 -3.721 3.546
Ag Sr P
3 1 1
direct
0.500 0.000 0.000
0.000 0.500 0.000
0.000 0.000 0.500
0.000 0.000 0.000
0.500 0.500 0.500
```

Summary:
uncorrected energy: -9.6 eV/f.u.
energy of formation from the pure elements: 1.586 eV/atom
symmetry: Pm-3m
calculated density: 4.81 g/cm3

***

VASP calculation (GGA-PBEsol) on crystalline SrAgP at its relaxed geometry.

POSCAR file:
```
SrAgP
1.0
-0.556 4.068 1.440
-2.373 -3.242 1.670
5.754 -1.249 5.753
Sr Ag P
2 2 2
direct
0.000 0.000 0.500
0.000 0.000 0.000
0.333 0.667 0.750
0.667 0.333 0.250
0.333 0.667 0.250
0.667 0.333 0.750
```

Summary:
uncorrected energy: -13.3 eV/f.u.
energy of formation from the pure elements: -0.781 eV/atom
symmetry: P6_3/mmc
calculated density: 5.57 g/cm3

***

VASP calculation (GGA-PBEsol) on crystalline SrAgP3 at its relaxed geometry.

POSCAR file:
```
SrAgP3
1.0
4.836 0.000 0.000
0.000 4.836 0.000
0.000 0.000 4.836
Ag P Sr
1 3 1
direct
0.000 0.000 0.000
0.000 0.500 0.000
0.000 0.000 0.500
0.500 0.000 0.000
0.500 0.500 0.500
```

Summary:
uncorrected energy: -21.1 eV/f.u.
energy of formation from the pure elements: 0.281 eV/atom
symmetry: Pm-3m
calculated density: 4.23 g/cm3

***

VASP calculation (GGA-PBEsol) on crystalline SrAg2P at its relaxed geometry.

POSCAR file:
```
SrAg2P
1.0
-0.234 1.810 3.797
2.888 -2.696 1.463
3.415 2.996 -1.219
Sr Ag P
1 2 1
direct
0.000 0.000 0.500
0.000 0.500 0.000
0.500 0.000 0.000
0.500 0.500 0.500
```

Summary:
uncorrected energy: -14.7 eV/f.u.
energy of formation from the pure elements: -0.106 eV/atom
symmetry: P4/mmm
calculated density: 6.65 g/cm3

***

VASP calculation (GGA-PBEsol) on crystalline TaAgP3 at its relaxed geometry.

POSCAR file:
```
TaAgP3
1.0
-4.499 -1.529 -0.106
1.511 -4.479 0.496
-0.259 0.436 4.726
Ag P Ta
1 3 1
direct
0.500 0.500 0.500
0.000 0.000 0.500
0.500 0.000 0.000
0.000 0.500 0.000
0.000 0.000 0.000
```

Summary:
uncorrected energy: -30.6 eV/f.u.
energy of formation from the pure elements: 0.537 eV/atom
symmetry: Pm-3m
calculated density: 5.90 g/cm3

***

VASP calculation (GGA-PBEsol) on crystalline TaAgP at its relaxed geometry.

POSCAR file:
```
TaAgP
1.0
-0.470 2.878 0.085
-2.246 -1.836 -0.312
-0.665 -0.303 6.572
Ta P Ag
1 1 1
direct
0.333 0.667 0.355
0.667 0.333 0.651
0.000 0.000 0.994
```

Summary:
uncorrected energy: -21.4 eV/f.u.
energy of formation from the pure elements: 0.091 eV/atom
symmetry: P3m1
calculated density: 10.90 g/cm3

***

VASP calculation (GGA-PBEsol) on crystalline TcAgP2 at its relaxed geometry.

POSCAR file:
```
TcAgP2
1.0
3.110 0.025 0.000
-0.736 4.204 0.000
0.000 0.000 4.514
Tc P Ag
1 2 1
direct
0.675 0.458 0.000
0.056 0.029 0.000
0.594 0.271 0.500
0.175 0.741 0.500
```

Summary:
uncorrected energy: -26.0 eV/f.u.
energy of formation from the pure elements: 0.050 eV/atom
offset from the most stable computed form: 0 kJ/mol of formula units
symmetry: Pm
calculated density: 7.53 g/cm3